VASP calculation (PBE) on a relaxed structure of YCr2Rh.

Properties
As for the total energy: -61.6 eV for the cell shown. The mass density is 7.7 g cm⁻³. The calculation puts the calculated formation energy at 0.56 eV per atom.

```
data_YCr2Rh
_chemical_formula_sum 'Y2 Cr4 Rh2'
_space_group_name_H-M_alt 'C m m m'
_space_group_IT_number 65
_space_group_name_Hall '-C 2 2'
_cell_length_a 5.111
_cell_length_b 9.010
_cell_length_c 2.777
_cell_angle_alpha 90.00
_cell_angle_beta 90.00
_cell_angle_gamma 90.00
loop_
_atom_site_label
_atom_site_type_symbol
_atom_site_fract_x
_atom_site_fract_y
_atom_site_fract_z
Y1 Y 0.000 0.000 0.000
Cr1 Cr 0.250 0.250 0.500
Rh1 Rh 0.000 0.500 0.000
```

=====

VASP calculation (PBE) on a relaxed structure of ZrCd2Os.

Properties
As for the total energy: -40.9 eV for the cell shown. The mass density is 11.0 g cm⁻³. The calculation puts the calculated formation energy at 0.29 eV per atom.

```
data_ZrCd2Os
_chemical_formula_sum 'Zr2 Cd4 Os2'
_space_group_name_H-M_alt 'C 1 2/m 1'
_space_group_IT_number 12
_cell_length_a 5.584
_cell_length_b 9.885
_cell_length_c 2.849
_cell_angle_alpha 90.00
_cell_angle_beta 104.36
_cell_angle_gamma 90.00
loop_
_space_group_symop_operation_xyz
'x,y,z'
'-x,-y,-z'
'-x,y,-z'
'x,-y,z'
'x+1/2,y+1/2,z'
'-x+1/2,-y+1/2,-z'
'-x+1/2,y+1/2,-z'
'x+1/2,-y+1/2,z'
loop_
_atom_site_label
_atom_site_type_symbol
_atom_site_fract_x
_atom_site_fract_y
_atom_site_fract_z
Zr1 Zr 0.000 0.000 0.000
Cd1 Cd 0.250 0.250 0.500
Os1 Os 0.000 0.500 0.000
```

=====

VASP calculation (PBE) on a relaxed structure of SmHoIn2.

Properties
As for the total energy: -66.7 eV for the cell shown. The mass density is 8.3 g cm⁻³. The calculation puts the calculated formation energy at -0.47 eV per atom.

```
data_SmHoIn2
_chemical_formula_sum 'Sm4 Ho4 In8'
_space_group_name_H-M_alt 'F m -3 m'
_space_group_IT_number 225
_space_group_name_Hall '-F 4 2 3'
_cell_length_a 7.576
_cell_length_b 7.576
_cell_length_c 7.576
_cell_angle_alpha 90.00
_cell_angle_beta 90.00
_cell_angle_gamma 90.00
loop_
_atom_site_label
_atom_site_type_symbol
_atom_site_fract_x
_atom_site_fract_y
_atom_site_fract_z
Sm1 Sm 0.000 0.000 0.000
Ho1 Ho 0.000 0.000 0.500
In1 In 0.250 0.250 0.250
```

=====

VASP calculation (PBE) on a relaxed structure of CuMoAu.

Properties
As for the total energy: -17.4 eV for the cell shown. The mass density is 12.9 g cm⁻³. The calculation puts the calculated formation energy at 0.28 eV per atom.

```
data_CuMoAu
_chemical_formula_sum 'Cu1 Mo1 Au1'
_space_group_name_H-M_alt 'P -6 m 2'
_space_group_IT_number 187
_space_group_name_Hall 'P -6 2'
_cell_length_a 4.4618
_cell_length_b 4.4618
_cell_length_c 2.6530
_cell_angle_alpha 90.00
_cell_angle_beta 90.00
_cell_angle_gamma 120.00
loop_
_atom_site_label
_atom_site_type_symbol
_atom_site_fract_x
_atom_site_fract_y
_atom_site_fract_z
Cu1 Cu 0.0000 0.0000 0.0000
Mo1 Mo 0.6667 0.3333 0.5000
Au1 Au 0.3333 0.6667 0.0000
```

=====

VASP calculation (PBE) on a relaxed structure of AcBe4As3O12.

Properties
As for the formation energy without anion corrections: -43.78 kcal/mol of atoms. As for the total energy: -391.3 eV for the cell shown. The mass density is 5.1 g cm⁻³.

```
data_AcBe4As3O12
_chemical_formula_sum 'Ac3 Be12 As9 O36'
_space_group_name_H-M_alt 'R 3 2'
_space_group_IT_number 155
_space_group_name_Hall 'R 3 2"'
_cell_length_a 9.9886
_cell_length_b 9.9886
_cell_length_c 7.6851
_cell_angle_alpha 90.00
_cell_angle_beta 90.00
_cell_angle_gamma 120.00
loop_
_atom_site_label
_atom_site_type_symbol
_atom_site_fract_x
_atom_site_fract_y
_atom_site_fract_z
Ac1 Ac 0.0000 0.0000 0.0000
Be1 Be 0.0000 0.0000 0.5000
Be2 Be 0.0000 0.4336 0.5000
As1 As 0.0000 0.5569 0.0000
O1 O 0.0000 0.5921 0.5000
O2 O 0.0000 0.8414 0.5000
O3 O 0.0457 0.2222 0.1968
```

=====

VASP calculation (PBE) on a relaxed structure of CoIrSe4.

Properties
As for the formation energy without anion corrections: 31.69 kcal/mol of atoms. As for the total energy: -86.6 eV for the cell shown. The mass density is 8.1 g cm⁻³.

```
data_CoIrSe4
_chemical_formula_sum 'Co4 Ir4 Se16'
_space_group_name_H-M_alt 'F -4 3 m'
_space_group_IT_number 216
_space_group_name_Hall 'F -4 2 3'
_cell_length_a 7.739
_cell_length_b 7.739
_cell_length_c 7.739
_cell_angle_alpha 90.00
_cell_angle_beta 90.00
_cell_angle_gamma 90.00
loop_
_atom_site_label
_atom_site_type_symbol
_atom_site_fract_x
_atom_site_fract_y
_atom_site_fract_z
Co1 Co 0.000 0.000 0.000
Ir1 Ir 0.250 0.250 0.750
Se1 Se 0.124 0.124 0.376
```

=====

VASP calculation (PBE) on a relaxed structure of SbBr2N.

Properties
As for the formation energy without anion corrections: 26.48 kcal/mol of atoms. As for the total energy: -44.8 eV for the cell shown. The mass density is 5.5 g cm⁻³.

```
data_SbBr2N
_chemical_formula_sum 'Sb4 Br8 N4'
_space_group_name_H-M_alt 'F m -3 m'
_space_group_IT_number 225
_space_group_name_Hall '-F 4 2 3'
_cell_length_a 7.109
_cell_length_b 7.109
_cell_length_c 7.109
_cell_angle_alpha 90.00
_cell_angle_beta 90.00
_cell_angle_gamma 90.00
loop_
_atom_site_label
_atom_site_type_symbol
_atom_site_fract_x
_atom_site_fract_y
_atom_site_fract_z
Sb1 Sb 0.000 0.000 0.000
Br1 Br 0.250 0.250 0.250
N1 N 0.000 0.000 0.500
```

=====

VASP calculation (PBE) on a relaxed structure of EuDySc2.

Properties
As for the total energy: -107.4 eV for the cell shown. The mass density is 5.8 g cm⁻³. The calculation puts the calculated formation energy at 0.17 eV per atom.

```
data_EuDySc2
_chemical_formula_sum 'Eu4 Dy4 Sc8'
_space_group_name_H-M_alt 'F m -3 m'
_space_group_IT_number 225
_space_group_name_Hall '-F 4 2 3'
_cell_length_a 7.740
_cell_length_b 7.740
_cell_length_c 7.740
_cell_angle_alpha 90.00
_cell_angle_beta 90.00
_cell_angle_gamma 90.00
loop_
_atom_site_label
_atom_site_type_symbol
_atom_site_fract_x
_atom_site_fract_y
_atom_site_fract_z
Eu1 Eu 0.000 0.000 0.000
Dy1 Dy 0.000 0.000 0.500
Sc1 Sc 0.250 0.250 0.250
```

=====

VASP calculation (PBE) on a relaxed structure of ZrTcRu2.

Properties
As for the total energy: -148.7 eV for the cell shown. The mass density is 10.2 g cm⁻³. The calculation puts the calculated formation energy at 0.07 eV per atom.

```
data_ZrTcRu2
_chemical_formula_sum 'Zr4 Tc4 Ru8'
_space_group_name_H-M_alt 'F -4 3 m'
_space_group_IT_number 216
_space_group_name_Hall 'F -4 2 3'
_cell_length_a 6.350
_cell_length_b 6.350
_cell_length_c 6.350
_cell_angle_alpha 90.00
_cell_angle_beta 90.00
_cell_angle_gamma 90.00
loop_
_atom_site_label
_atom_site_type_symbol
_atom_site_fract_x
_atom_site_fract_y
_atom_site_fract_z
Zr1 Zr 0.000 0.000 0.000
Tc1 Tc 0.250 0.250 0.250
Ru1 Ru 0.000 0.000 0.500
Ru2 Ru 0.250 0.250 0.750
```

=====

VASP calculation (PBE) on a relaxed structure of BaAcSiAg.

Properties
As for the formation energy without anion corrections: -6.62 kcal/mol of atoms. As for the total energy: -61.8 eV for the cell shown. The mass density is 6.6 g cm⁻³.

```
data_BaAcSiAg
_chemical_formula_sum 'Ba4 Ac4 Si4 Ag4'
_space_group_name_H-M_alt 'F -4 3 m'
_space_group_IT_number 216
_space_group_name_Hall 'F -4 2 3'
_cell_length_a 7.941
_cell_length_b 7.941
_cell_length_c 7.941
_cell_angle_alpha 90.00
_cell_angle_beta 90.00
_cell_angle_gamma 90.00
loop_
_atom_site_label
_atom_site_type_symbol
_atom_site_fract_x
_atom_site_fract_y
_atom_site_fract_z
Ba1 Ba 0.000 0.000 0.000
Ac1 Ac 0.000 0.000 0.500
Si1 Si 0.250 0.250 0.750
Ag1 Ag 0.250 0.250 0.250
```

=====

VASP calculation (PBE) on a relaxed structure of Ba2As4O.

Properties
As for the formation energy without anion corrections: -8.30 kcal/mol of atoms. As for the total energy: -59.8 eV for the cell shown. The mass density is 5.3 g cm⁻³.

```
data_Ba2As4O
_chemical_formula_sum 'Ba4 As8 O2'
_space_group_name_H-M_alt 'I 4/m m m'
_space_group_IT_number 139
_space_group_name_Hall '-I 4 2'
_cell_length_a 4.737
_cell_length_b 4.737
_cell_length_c 16.448
_cell_angle_alpha 90.00
_cell_angle_beta 90.00
_cell_angle_gamma 90.00
loop_
_atom_site_label
_atom_site_type_symbol
_atom_site_fract_x
_atom_site_fract_y
_atom_site_fract_z
Ba1 Ba 0.000 0.000 0.152
As1 As 0.000 0.000 0.366
As2 As 0.000 0.500 0.000
O1 O 0.000 0.000 0.500
```

=====

Please write out number 2 again, unchanged.
VASP calculation (PBE) on a relaxed structure of ZrCd2Os.

Properties
As for the total energy: -40.9 eV for the cell shown. The mass density is 11.0 g cm⁻³. The calculation puts the calculated formation energy at 0.29 eV per atom.

```
data_ZrCd2Os
_chemical_formula_sum 'Zr2 Cd4 Os2'
_space_group_name_H-M_alt 'C 1 2/m 1'
_space_group_IT_number 12
_cell_length_a 5.584
_cell_length_b 9.885
_cell_length_c 2.849
_cell_angle_alpha 90.00
_cell_angle_beta 104.36
_cell_angle_gamma 90.00
loop_
_space_group_symop_operation_xyz
'x,y,z'
'-x,-y,-z'
'-x,y,-z'
'x,-y,z'
'x+1/2,y+1/2,z'
'-x+1/2,-y+1/2,-z'
'-x+1/2,y+1/2,-z'
'x+1/2,-y+1/2,z'
loop_
_atom_site_label
_atom_site_type_symbol
_atom_site_fract_x
_atom_site_fract_y
_atom_site_fract_z
Zr1 Zr 0.000 0.000 0.000
Cd1 Cd 0.250 0.250 0.500
Os1 Os 0.000 0.500 0.000
```

=====

Q: What is the mass density in the second record?
A: 11.0 g cm⁻³